[1]
Computed, not measured: a relaxed structure of CaSmP2Pt4 at the GGA-PBE level of DFT.

Lattice parameters (Å, degrees): 4.0703 4.0703 9.3305 90.00 90.00 90.00
With the nearest neighbours (Å) after each atom.
Space group P4/mmm (No. 123)
Inequivalent atoms, fractional coordinates:
Ca: 0.0000 0.0000 0.0000 (multiplicity 1)  8 P 3.10, 8 Pt 3.17
Sm: 0.0000 0.0000 0.5000 (multiplicity 1)  8 Pt 3.02
P: 0.5000 0.5000 0.1228 (multiplicity 2)  1 P 2.29, 4 Pt 2.41
Pt: 0.0000 0.5000 0.2604 (multiplicity 4)  2 P 2.41

## Properties
Formation enthalpy at 0 K in eV/atom: -0.84
Calculated volume in Å³/f.u.: 155

---

[2]
Computed, not measured: a relaxed structure of Ca3SnP2Pt9 at the GGA-PBE level of DFT.

Lattice parameters (Å, degrees): 6.3287 6.3287 9.1928 90.00 90.00 120.00
With the nearest neighbours (Å) after each atom.
Space group P-3m1 (No. 164)
Inequivalent atoms, fractional coordinates:
Ca: 0.0000 0.0000 0.0000 (multiplicity 1)  12 Pt 2.93-3.16
Ca: 0.3333 0.6667 0.7092 (multiplicity 2)  9 Pt 3.18-3.24
Sn: 0.0000 0.0000 0.5000 (multiplicity 1)  6 Pt 2.67
P: 0.3333 0.6667 0.1713 (multiplicity 2)  6 Pt 2.24-2.41
Pt: 0.0000 0.5000 0.0000 (multiplicity 3)  2 P 2.41
Pt: 0.1459 0.2918 0.2672 (multiplicity 6)  1 P 2.24

## Properties
Formation enthalpy at 0 K in eV/atom: -0.64
Calculated volume in Å³/f.u.: 319

---

[3]
Computed, not measured: a relaxed structure of Sr2CaP3Pt12 at the GGA-PBE level of DFT.

Lattice parameters (Å, degrees): 8.4980 8.4980 17.4646 90.00 90.00 120.00
With the nearest neighbours (Å) after each atom.
Space group R-3m (No. 166, hexagonal axes)
Inequivalent atoms, fractional coordinates:
Sr: 0.0000 0.0000 0.1005 (multiplicity 6)  6 Pt 2.95-3.12
Ca: 0.0000 0.0000 0.5000 (multiplicity 3)  6 Pt 2.66
P: 0.0000 0.5000 0.0000 (multiplicity 9)  6 Pt 2.26-2.33
Pt: 0.0166 0.5083 0.8709 (multiplicity 18)  1 P 2.26
Pt: 0.0484 0.5242 0.3557 (multiplicity 18)  2 P 2.33

## Properties
Formation enthalpy at 0 K in eV/atom: -0.35
Calculated volume in Å³/f.u.: 364

---

[4]
Computed, not measured: a relaxed structure of SrCa2PPt at the GGA-PBE level of DFT.

Lattice parameters (Å, degrees): 5.6014 5.6014 4.7781 90.00 90.00 90.00
With the nearest neighbours (Å) after each atom.
Space group P4/mmm (No. 123)
Inequivalent atoms, fractional coordinates:
Sr: 0.0000 0.0000 0.0000 (multiplicity 1)  8 Ca 3.68, 4 P 3.96
Ca: 0.0000 0.5000 0.5000 (multiplicity 2)  2 Pt 2.80
P: 0.5000 0.5000 0.0000 (multiplicity 1)  2 Pt 2.39
Pt: 0.5000 0.5000 0.5000 (multiplicity 1)  2 P 2.39

## Properties
Formation enthalpy at 0 K in eV/atom: -0.37
Calculated volume in Å³/f.u.: 150

---

no.,M_tot (μB per cell)
1,0.00
2,0.00
3,0.00
4,0.00